# 1
DFT (PBE) results for TiNbW3 after structural relaxation.

Results
Energy above the lowest structure with this stoichiometry = 1414 meV/atom

Lattice parameters (Å, degrees): 4.5637 4.5637 4.5637 90.00 90.00 90.00
Space group Pm-3m (No. 221)
Asymmetric unit:
Ti: 0.0000 0.0000 0.0000 x1
Nb: 0.5000 0.5000 0.5000 x1
W: 0.0000 0.0000 0.5000 x3



# 2
DFT (PBE) results for Ba2ZnHgPb6 after structural relaxation.

Lattice parameters (Å, degrees): 7.7355 7.7355 40.3852 90.00 90.00 120.00
Space group R-3m (No. 166, hexagonal axes)
Asymmetric unit:
Ba: 0.0000 0.0000 0.1083 x6
Ba: 0.0000 0.0000 0.2844 x6
Zn: 0.0000 0.0000 0.0000 x3
Zn: 0.0000 0.0000 0.5000 x3
Hg: 0.0000 0.0000 0.4270 x6
Pb: 0.0405 0.5202 0.3008 x18
Pb: 0.0566 0.5283 0.8633 x18



# 3
DFT (PBE) results for TbPr4As5 after structural relaxation.

Lattice parameters (Å, degrees): 4.2786 4.2786 30.2142 90.00 90.00 90.00
Space group I4/mmm (No. 139)
Asymmetric unit:
Tb: 0.0000 0.0000 0.0000 x2
Pr: 0.0000 0.0000 0.1993 x4
Pr: 0.0000 0.0000 0.4010 x4
As: 0.0000 0.0000 0.0978 x4
As: 0.0000 0.0000 0.3002 x4
As: 0.0000 0.0000 0.5000 x2



Q: Which size of the total moment values were calculated for the entries above? A: 0.00; 0.00; 0.00, in μB per formula unit.
Q: Which DFT formation energy values were calculated for the entries above? A: 1.71; -0.16; -1.50, in eV/atom.